Record 1
Here is a relaxed CdH8C4S4N6 crystal from Alexandria. Energies are from PBE-GGA.

## Properties
SG ... No. 2
D(E_F) ... 0.00 states/eV per cell
Electronic total energy ... -5.857 eV/atom

```
data_CdH8C4S4N6
_cell_length_a 4.1260
_cell_length_b 8.0382
_cell_length_c 10.2471
_cell_angle_alpha 91.03
_cell_angle_beta 99.15
_cell_angle_gamma 102.17
_space_group_name_H-M_alt 'P 1'
_space_group_IT_number 1
loop_
_space_group_symop_operation_xyz
'x,y,z'
loop_
_atom_site_label
_atom_site_type_symbol
_atom_site_fract_x
_atom_site_fract_y
_atom_site_fract_z
Cd1 Cd 0.0000 0.0000 0.0000
H1 H 0.3463 0.8988 0.2738
H2 H 0.3854 0.4964 0.7022
H3 H 0.3945 0.5221 0.8720
H4 H 0.4981 0.7557 0.3844
H5 H 0.5019 0.2443 0.6156
H6 H 0.6055 0.4779 0.1280
H7 H 0.6146 0.5036 0.2978
H8 H 0.6537 0.1012 0.7262
C1 C 0.1019 0.1785 0.3068
C2 C 0.4789 0.6973 0.1875
C3 C 0.5211 0.3027 0.8125
C4 C 0.8981 0.8215 0.6932
S1 S 0.0764 0.3105 0.4237
S2 S 0.4043 0.7620 0.0262
S3 S 0.5957 0.2380 0.9738
S4 S 0.9236 0.6895 0.5763
N1 N 0.1239 0.0805 0.2216
N2 N 0.4134 0.4469 0.7932
N3 N 0.4327 0.7887 0.2894
N4 N 0.5673 0.2113 0.7106
N5 N 0.5866 0.5531 0.2068
N6 N 0.8761 0.9195 0.7784
```


Record 2
Here is a relaxed BaV3Co crystal from Alexandria. Energies are from PBE-GGA.

## Properties
SG ... No. 221
D(E_F) ... 7.44 states/eV per cell
Distance to the lowest polymorph of the same formula ... 1854 meV per atom

```
data_BaV3Co
_cell_length_a 4.7335
_cell_length_b 4.7335
_cell_length_c 4.7335
_cell_angle_alpha 90.00
_cell_angle_beta 90.00
_cell_angle_gamma 90.00
_space_group_name_H-M_alt 'P 1'
_space_group_IT_number 1
loop_
_space_group_symop_operation_xyz
'x,y,z'
loop_
_atom_site_label
_atom_site_type_symbol
_atom_site_fract_x
_atom_site_fract_y
_atom_site_fract_z
Ba1 Ba 0.0000 0.0000 0.0000
V1 V 0.0000 0.0000 0.5000
V2 V 0.0000 0.5000 0.0000
V3 V 0.5000 0.0000 0.0000
Co1 Co 0.5000 0.5000 0.5000
```


Record 3
Here is a relaxed Rb2LiZnBr6 crystal from Alexandria. Energies are from PBE-GGA.

## Properties
SG ... No. 139
D(E_F) ... 13.35 states/eV per cell
Electronic total energy ... -2.689 eV/atom

```
data_Rb2LiZnBr6
_cell_length_a 7.5767
_cell_length_b 7.5767
_cell_length_c 7.5767
_cell_angle_alpha 120.07
_cell_angle_beta 120.07
_cell_angle_gamma 89.87
_space_group_name_H-M_alt 'P 1'
_space_group_IT_number 1
loop_
_space_group_symop_operation_xyz
'x,y,z'
loop_
_atom_site_label
_atom_site_type_symbol
_atom_site_fract_x
_atom_site_fract_y
_atom_site_fract_z
Rb1 Rb 0.2500 0.7500 0.5000
Rb2 Rb 0.7500 0.2500 0.5000
Li1 Li 0.0000 0.0000 0.0000
Zn1 Zn 0.5000 0.5000 0.0000
Br1 Br 0.2552 0.2552 0.0000
Br2 Br 0.2547 0.2547 0.5094
Br3 Br 0.2547 0.7453 0.0000
Br4 Br 0.7453 0.2547 0.0000
Br5 Br 0.7448 0.7448 0.0000
Br6 Br 0.7453 0.7453 0.4906
```


Record 4
Here is a relaxed Li2Ac2ErO6 crystal from Alexandria. Energies are from PBE-GGA.

## Properties
SG ... No. 166
D(E_F) ... 6.54 states/eV per cell
Electronic total energy ... -6.796 eV/atom

```
data_Li2Ac2ErO6
_cell_length_a 6.4423
_cell_length_b 6.4423
_cell_length_c 6.4423
_cell_angle_alpha 54.48
_cell_angle_beta 54.48
_cell_angle_gamma 54.48
_space_group_name_H-M_alt 'P 1'
_space_group_IT_number 1
loop_
_space_group_symop_operation_xyz
'x,y,z'
loop_
_atom_site_label
_atom_site_type_symbol
_atom_site_fract_x
_atom_site_fract_y
_atom_site_fract_z
Li1 Li 0.0711 0.0711 0.0711
Li2 Li 0.9289 0.9289 0.9289
Ac1 Ac 0.2896 0.2896 0.2896
Ac2 Ac 0.7104 0.7104 0.7104
Er1 Er 0.5000 0.5000 0.5000
O1 O 0.2501 0.2501 0.7178
O2 O 0.2501 0.7178 0.2501
O3 O 0.2822 0.7499 0.7499
O4 O 0.7178 0.2501 0.2501
O5 O 0.7499 0.2822 0.7499
O6 O 0.7499 0.7499 0.2822
```


Record 5
Here is a relaxed CuTe2 crystal from Alexandria. Energies are from PBE-GGA.

## Properties
SG ... No. 227
D(E_F) ... 9.61 states/eV per cell
Electronic total energy ... -2.564 eV/atom

```
data_CuTe2
_cell_length_a 6.2684
_cell_length_b 6.2684
_cell_length_c 6.2684
_cell_angle_alpha 60.00
_cell_angle_beta 60.00
_cell_angle_gamma 60.00
_space_group_name_H-M_alt 'P 1'
_space_group_IT_number 1
loop_
_space_group_symop_operation_xyz
'x,y,z'
loop_
_atom_site_label
_atom_site_type_symbol
_atom_site_fract_x
_atom_site_fract_y
_atom_site_fract_z
Cu1 Cu 0.1250 0.1250 0.1250
Cu2 Cu 0.8750 0.8750 0.8750
Te1 Te 0.0000 0.5000 0.5000
Te2 Te 0.5000 0.0000 0.5000
Te3 Te 0.5000 0.5000 0.0000
Te4 Te 0.5000 0.5000 0.5000
```


Record 6
Here is a relaxed LiSe3 crystal from Alexandria. Energies are from PBE-GGA.

## Properties
SG ... No. 229
D(E_F) ... 0.24 states/eV per cell
Distance to the lowest polymorph of the same formula ... 0 meV per atom

```
data_LiSe3
_cell_length_a 4.7366
_cell_length_b 4.7366
_cell_length_c 4.7366
_cell_angle_alpha 109.47
_cell_angle_beta 109.47
_cell_angle_gamma 109.47
_space_group_name_H-M_alt 'P 1'
_space_group_IT_number 1
loop_
_space_group_symop_operation_xyz
'x,y,z'
loop_
_atom_site_label
_atom_site_type_symbol
_atom_site_fract_x
_atom_site_fract_y
_atom_site_fract_z
Li1 Li 0.0000 0.0000 0.0000
Se1 Se 0.0000 0.5000 0.5000
Se2 Se 0.5000 0.0000 0.5000
Se3 Se 0.5000 0.5000 0.0000
```


Record 7
Here is a relaxed ScNiW3 crystal from Alexandria. Energies are from PBE-GGA.

## Properties
SG ... No. 221
D(E_F) ... 5.76 states/eV per cell
Distance to the lowest polymorph of the same formula ... 1365 meV per atom

```
data_ScNiW3
_cell_length_a 4.5512
_cell_length_b 4.5512
_cell_length_c 4.5512
_cell_angle_alpha 90.00
_cell_angle_beta 90.00
_cell_angle_gamma 90.00
_space_group_name_H-M_alt 'P 1'
_space_group_IT_number 1
loop_
_space_group_symop_operation_xyz
'x,y,z'
loop_
_atom_site_label
_atom_site_type_symbol
_atom_site_fract_x
_atom_site_fract_y
_atom_site_fract_z
Sc1 Sc 0.0000 0.0000 0.0000
Ni1 Ni 0.5000 0.5000 0.5000
W1 W 0.0000 0.0000 0.5000
W2 W 0.0000 0.5000 0.0000
W3 W 0.5000 0.0000 0.0000
```


Record 8
Here is a relaxed K2Li2Fe crystal from Alexandria. Energies are from PBE-GGA.

## Properties
SG ... No. 127
D(E_F) ... 11.65 states/eV per cell
Distance to the lowest polymorph of the same formula ... 231 meV per atom

```
data_K2Li2Fe
_cell_length_a 10.1247
_cell_length_b 10.1247
_cell_length_c 3.2209
_cell_angle_alpha 90.00
_cell_angle_beta 90.00
_cell_angle_gamma 90.00
_space_group_name_H-M_alt 'P 1'
_space_group_IT_number 1
loop_
_space_group_symop_operation_xyz
'x,y,z'
loop_
_atom_site_label
_atom_site_type_symbol
_atom_site_fract_x
_atom_site_fract_y
_atom_site_fract_z
K1 K 0.1989 0.3011 0.0000
K2 K 0.3011 0.8011 0.0000
K3 K 0.6989 0.1989 0.0000
K4 K 0.8011 0.6989 0.0000
Li1 Li 0.0962 0.5962 0.5000
Li2 Li 0.4038 0.0962 0.5000
Li3 Li 0.5962 0.9038 0.5000
Li4 Li 0.9038 0.4038 0.5000
Fe1 Fe 0.0000 0.0000 0.0000
Fe2 Fe 0.5000 0.5000 0.0000
```


Record 9
Here is a relaxed LaTa2Os crystal from Alexandria. Energies are from PBE-GGA.

## Properties
SG ... No. 6
D(E_F) ... 4.13 states/eV per cell
Distance to the lowest polymorph of the same formula ... 180 meV per atom

```
data_LaTa2Os
_cell_length_a 3.0698
_cell_length_b 4.2755
_cell_length_c 6.7466
_cell_angle_alpha 90.00
_cell_angle_beta 101.31
_cell_angle_gamma 90.00
_space_group_name_H-M_alt 'P 1'
_space_group_IT_number 1
loop_
_space_group_symop_operation_xyz
'x,y,z'
loop_
_atom_site_label
_atom_site_type_symbol
_atom_site_fract_x
_atom_site_fract_y
_atom_site_fract_z
La1 La 0.0000 0.0000 0.0000
Ta1 Ta 0.4129 0.5000 0.6630
Ta2 Ta 0.9047 0.0000 0.4631
Os1 Os 0.5081 0.5000 0.3016
```


Record 10
Here is a relaxed Li3La3Ag8 crystal from Alexandria. Energies are from PBE-GGA.

## Properties
SG ... No. 71
D(E_F) ... 7.68 states/eV per cell
Electronic total energy ... -3.326 eV/atom

```
data_Li3La3Ag8
_cell_length_a 8.6786
_cell_length_b 8.6786
_cell_length_c 8.6786
_cell_angle_alpha 148.17
_cell_angle_beta 113.68
_cell_angle_gamma 75.45
_space_group_name_H-M_alt 'P 1'
_space_group_IT_number 1
loop_
_space_group_symop_operation_xyz
'x,y,z'
loop_
_atom_site_label
_atom_site_type_symbol
_atom_site_fract_x
_atom_site_fract_y
_atom_site_fract_z
Li1 Li 0.0000 0.0000 0.0000
Li2 Li 0.1956 0.5000 0.6956
Li3 Li 0.8044 0.5000 0.3044
La1 La 0.2133 0.7133 0.5000
La2 La 0.5000 0.0000 0.5000
La3 La 0.7867 0.2867 0.5000
Ag1 Ag 0.0827 0.8783 0.2044
Ag2 Ag 0.1883 0.3366 0.8517
Ag3 Ag 0.3262 0.1217 0.2044
Ag4 Ag 0.4848 0.3366 0.1483
Ag5 Ag 0.5152 0.6634 0.8517
Ag6 Ag 0.6738 0.8783 0.7956
Ag7 Ag 0.8117 0.6634 0.1483
Ag8 Ag 0.9173 0.1217 0.7956
```